Version a
Compound: Cu2Ag3
Source: the Open Quantum Materials Database
Functional: PBE
Structure: optimized geometry

a = 6.2703 Å, b = 6.2703 Å, c = 3.9703 Å
α = 90.00°, β = 90.00°, γ = 90.00°
Sites, in units of the cell vectors:
Cu (0.0926, 0.1779, 0.0000)
Cu (0.1779, 0.9074, 0.5000)
Cu (0.8221, 0.0926, 0.5000)
Cu (0.9074, 0.8221, 0.0000)
Ag (0.0000, 0.5000, 0.5000)
Ag (0.2889, 0.6062, 0.0000)
Ag (0.3938, 0.2889, 0.5000)
Ag (0.5000, 0.0000, 0.0000)
Ag (0.6062, 0.7111, 0.5000)
Ag (0.7111, 0.3938, 0.0000)



Version b
Compound: Cu2Ag3
Source: the Open Quantum Materials Database
Functional: PBE
Structure: optimized geometry

a = 4.9444 Å, b = 4.9444 Å, c = 11.5309 Å
α = 98.40°, β = 98.40°, γ = 33.67°
Sites, in units of the cell vectors:
Cu (0.0193, 0.0193, 0.3724)
Cu (0.3501, 0.3501, 0.4710)
Cu (0.6499, 0.6499, 0.5290)
Cu (0.9807, 0.9807, 0.6276)
Ag (0.1455, 0.1455, 0.0565)
Ag (0.2736, 0.2736, 0.7160)
Ag (0.4360, 0.4360, 0.1695)
Ag (0.5640, 0.5640, 0.8305)
Ag (0.7264, 0.7264, 0.2840)
Ag (0.8545, 0.8545, 0.9435)



Version c
Compound: Cu2Ag3
Source: the Open Quantum Materials Database
Functional: PBE
Structure: optimized geometry

a = 10.1384 Å, b = 10.1384 Å, c = 3.9789 Å
α = 90.00°, β = 90.00°, γ = 157.58°
Sites, in units of the cell vectors:
Cu (0.1048, 0.8952, 0.0000)
Cu (0.2015, 0.7985, 0.5000)
Cu (0.7985, 0.2015, 0.5000)
Cu (0.8952, 0.1048, 0.0000)
Ag (0.0000, 0.0000, 0.5000)
Ag (0.2989, 0.7011, 0.0000)
Ag (0.3960, 0.6040, 0.5000)
Ag (0.5000, 0.5000, 0.0000)
Ag (0.6040, 0.3960, 0.5000)
Ag (0.7011, 0.2989, 0.0000)



Result of the stability comparison: version b is the most stable of them.



Version a
Compound: Cu2Ag3
Source: the Open Quantum Materials Database
Functional: PBE
Structure: optimized geometry

a = 22.3626 Å, b = 22.3626 Å, c = 22.3626 Å
α = 7.30°, β = 7.30°, γ = 7.30°
Sites, in units of the cell vectors:
Cu (0.0000, 0.0000, 0.0000)
Cu (0.1953, 0.1953, 0.1953)
Cu (0.5000, 0.5000, 0.5000)
Cu (0.8047, 0.8047, 0.8047)
Ag (0.1056, 0.1056, 0.1056)
Ag (0.3009, 0.3009, 0.3009)
Ag (0.4024, 0.4024, 0.4024)
Ag (0.5976, 0.5976, 0.5976)
Ag (0.6991, 0.6991, 0.6991)
Ag (0.8944, 0.8944, 0.8944)



Version b
Compound: Cu2Ag3
Source: the Open Quantum Materials Database
Functional: PBE
Structure: optimized geometry

a = 4.8455 Å, b = 4.8682 Å, c = 7.3916 Å
α = 71.12°, β = 71.11°, γ = 80.67°
Sites, in units of the cell vectors:
Cu (0.0000, 0.0000, 0.0000)
Cu (0.0030, 0.3967, 0.1931)
Cu (0.4998, 0.9027, 0.6939)
Cu (0.5115, 0.1075, 0.2929)
Ag (0.0042, 0.6030, 0.8034)
Ag (0.0156, 0.1961, 0.5941)
Ag (0.4987, 0.2867, 0.9035)
Ag (0.4997, 0.6963, 0.0970)
Ag (0.5117, 0.5009, 0.4930)
Ag (0.9963, 0.8207, 0.3836)



Version c
Compound: Cu2Ag3
Source: the Open Quantum Materials Database
Functional: PBE
Structure: optimized geometry

a = 4.9535 Å, b = 4.9535 Å, c = 11.5343 Å
α = 98.03°, β = 98.03°, γ = 33.74°
Sites, in units of the cell vectors:
Cu (0.0000, 0.0000, 0.0000)
Cu (0.3174, 0.3174, 0.0833)
Cu (0.5260, 0.5260, 0.4708)
Cu (0.6296, 0.6296, 0.1607)
Ag (0.1168, 0.1168, 0.6757)
Ag (0.2204, 0.2204, 0.3645)
Ag (0.4101, 0.4101, 0.7951)
Ag (0.6991, 0.6991, 0.9014)
Ag (0.8282, 0.8282, 0.5713)
Ag (0.9338, 0.9338, 0.2661)



Version d
Compound: Cu2Ag3
Source: the Open Quantum Materials Database
Functional: PBE
Structure: optimized geometry

a = 6.2384 Å, b = 3.9488 Å, c = 6.3429 Å
α = 90.00°, β = 90.22°, γ = 90.00°
Sites, in units of the cell vectors:
Cu (0.1369, 0.2500, 0.0439)
Cu (0.2373, 0.7500, 0.7664)
Cu (0.7627, 0.2500, 0.2336)
Cu (0.8631, 0.7500, 0.9561)
Ag (0.0427, 0.7500, 0.3364)
Ag (0.3494, 0.2500, 0.4463)
Ag (0.4573, 0.7500, 0.1446)
Ag (0.5427, 0.2500, 0.8554)
Ag (0.6506, 0.7500, 0.5537)
Ag (0.9573, 0.2500, 0.6636)



Result of the stability comparison: version c is the most stable of them.



Version a
Compound: Cu2Ag3
Source: the Open Quantum Materials Database
Functional: PBE
Structure: optimized geometry

a = 3.9896 Å, b = 9.9679 Å, c = 9.9679 Å
α = 23.12°, β = 90.00°, γ = 90.00°
Sites, in units of the cell vectors:
Cu (0.0000, 0.0000, 0.0000)
Cu (0.0000, 0.2020, 0.2020)
Cu (0.5000, 0.2881, 0.2881)
Cu (0.5000, 0.7018, 0.7018)
Ag (0.0000, 0.3954, 0.3954)
Ag (0.0000, 0.6059, 0.6059)
Ag (0.0000, 0.7905, 0.7905)
Ag (0.5000, 0.1059, 0.1059)
Ag (0.5000, 0.5005, 0.5005)
Ag (0.5000, 0.8953, 0.8953)



Version b
Compound: Cu2Ag3
Source: the Open Quantum Materials Database
Functional: PBE
Structure: optimized geometry

a = 11.5202 Å, b = 11.5202 Å, c = 4.7892 Å
α = 96.34°, β = 96.34°, γ = 14.25°
Sites, in units of the cell vectors:
Cu (0.0483, 0.0483, 0.3492)
Cu (0.1474, 0.1474, 0.0486)
Cu (0.8526, 0.8526, 0.9514)
Cu (0.9517, 0.9517, 0.6508)
Ag (0.2524, 0.2524, 0.7548)
Ag (0.3541, 0.3541, 0.4591)
Ag (0.4506, 0.4506, 0.1490)
Ag (0.5494, 0.5494, 0.8510)
Ag (0.6459, 0.6459, 0.5409)
Ag (0.7476, 0.7476, 0.2452)



Version c
Compound: Cu2Ag3
Source: the Open Quantum Materials Database
Functional: PBE
Structure: optimized geometry

a = 22.1956 Å, b = 22.1956 Å, c = 22.1956 Å
α = 7.36°, β = 7.36°, γ = 7.36°
Sites, in units of the cell vectors:
Cu (0.0978, 0.0978, 0.0978)
Cu (0.3006, 0.3006, 0.3006)
Cu (0.6994, 0.6994, 0.6994)
Cu (0.9022, 0.9022, 0.9022)
Ag (0.0000, 0.0000, 0.0000)
Ag (0.2032, 0.2032, 0.2032)
Ag (0.3987, 0.3987, 0.3987)
Ag (0.5000, 0.5000, 0.5000)
Ag (0.6013, 0.6013, 0.6013)
Ag (0.7968, 0.7968, 0.7968)



Result of the stability comparison: version a is the most stable of them.



Version a
Compound: HgTeAsO
Source: the Open Quantum Materials Database
Functional: PBE
Structure: optimized geometry

a = 6.0273 Å, b = 8.4236 Å, c = 7.8524 Å
α = 90.00°, β = 109.47°, γ = 90.00°
Sites, in units of the cell vectors:
Hg (0.0156, 0.2443, 0.0047)
Hg (0.0156, 0.2557, 0.5047)
Hg (0.9844, 0.7443, 0.4953)
Hg (0.9844, 0.7557, 0.9953)
Te (0.1627, 0.5078, 0.2813)
Te (0.1627, 0.9922, 0.7813)
Te (0.8373, 0.0078, 0.2187)
Te (0.8373, 0.4922, 0.7187)
As (0.4153, 0.5108, 0.8104)
As (0.4153, 0.9892, 0.3104)
As (0.5847, 0.0108, 0.6896)
As (0.5847, 0.4892, 0.1896)
O (0.4932, 0.1456, 0.4881)
O (0.4932, 0.3544, 0.9881)
O (0.5068, 0.6456, 0.0119)
O (0.5068, 0.8544, 0.5119)



Version b
Compound: HgTeAsO
Source: the Open Quantum Materials Database
Functional: PBE
Structure: optimized geometry

a = 4.0424 Å, b = 9.4353 Å, c = 5.8147 Å
α = 90.00°, β = 90.00°, γ = 90.00°
Sites, in units of the cell vectors:
Hg (0.0000, 0.1596, 0.0000)
Hg (0.0000, 0.8404, 0.5000)
Te (0.0000, 0.1894, 0.5091)
Te (0.0000, 0.8106, 0.0091)
As (0.5000, 0.3827, 0.3179)
As (0.5000, 0.6173, 0.8179)
O (0.5000, 0.4655, 0.9919)
O (0.5000, 0.5345, 0.4919)



Result of the stability comparison: version a is the most stable of them.



Version a
Compound: NaPrCdS3
Source: the Open Quantum Materials Database
Functional: PBE
Structure: optimized geometry

a = 7.7289 Å, b = 4.1501 Å, c = 10.0688 Å
α = 90.00°, β = 103.70°, γ = 90.00°
Sites, in units of the cell vectors:
Na (0.2422, 0.2500, 0.2479)
Na (0.7578, 0.7500, 0.7521)
Pr (0.2049, 0.7500, 0.6270)
Pr (0.7951, 0.2500, 0.3730)
Cd (0.4180, 0.2500, 0.8919)
Cd (0.5820, 0.7500, 0.1081)
S (0.0406, 0.7500, 0.3487)
S (0.2523, 0.7500, 0.9440)
S (0.4669, 0.2500, 0.6542)
S (0.5331, 0.7500, 0.3458)
S (0.7477, 0.2500, 0.0560)
S (0.9594, 0.2500, 0.6513)



Version b
Compound: NaPrCdS3
Source: the Open Quantum Materials Database
Functional: PBE
Structure: optimized geometry

a = 14.2491 Å, b = 4.1508 Å, c = 11.4458 Å
α = 90.00°, β = 90.00°, γ = 90.00°
Sites, in units of the cell vectors:
Na (0.2095, 0.2500, 0.1951)
Na (0.2905, 0.7500, 0.6951)
Na (0.7095, 0.2500, 0.3049)
Na (0.7905, 0.7500, 0.8049)
Pr (0.0437, 0.7500, 0.8534)
Pr (0.4563, 0.2500, 0.3534)
Pr (0.5437, 0.7500, 0.6466)
Pr (0.9563, 0.2500, 0.1466)
Cd (0.0403, 0.2500, 0.5989)
Cd (0.4597, 0.7500, 0.0989)
Cd (0.5403, 0.2500, 0.9011)
Cd (0.9597, 0.7500, 0.4011)
S (0.0668, 0.2500, 0.3735)
S (0.0877, 0.7500, 0.0901)
S (0.1619, 0.2500, 0.7601)
S (0.3381, 0.7500, 0.2601)
S (0.4123, 0.2500, 0.5901)
S (0.4332, 0.7500, 0.8735)
S (0.5668, 0.2500, 0.1265)
S (0.5877, 0.7500, 0.4099)
S (0.6619, 0.2500, 0.7399)
S (0.8381, 0.7500, 0.2399)
S (0.9123, 0.2500, 0.9099)
S (0.9332, 0.7500, 0.6265)



Result of the stability comparison: version b is the most stable of them.



Version a
Compound: LaAgPbS3
Source: the Open Quantum Materials Database
Functional: PBE
Structure: optimized geometry

a = 7.5783 Å, b = 4.1642 Å, c = 9.8887 Å
α = 90.00°, β = 103.52°, γ = 90.00°
Sites, in units of the cell vectors:
La (0.2184, 0.2500, 0.1489)
La (0.7816, 0.7500, 0.8511)
Ag (0.3947, 0.7500, 0.4164)
Ag (0.6053, 0.2500, 0.5836)
Pb (0.2105, 0.7500, 0.6895)
Pb (0.7895, 0.2500, 0.3105)
S (0.0535, 0.2500, 0.8561)
S (0.2080, 0.2500, 0.4508)
S (0.4811, 0.7500, 0.1826)
S (0.5189, 0.2500, 0.8174)
S (0.7920, 0.7500, 0.5492)
S (0.9465, 0.7500, 0.1439)



Version b
Compound: LaAgPbS3
Source: the Open Quantum Materials Database
Functional: PBE
Structure: optimized geometry

a = 13.3587 Å, b = 4.1370 Å, c = 11.1065 Å
α = 90.00°, β = 90.00°, γ = 90.00°
Sites, in units of the cell vectors:
La (0.0145, 0.2500, 0.1732)
La (0.4855, 0.7500, 0.6732)
La (0.5145, 0.2500, 0.3268)
La (0.9855, 0.7500, 0.8268)
Ag (0.0020, 0.7500, 0.4120)
Ag (0.4980, 0.2500, 0.9120)
Ag (0.5020, 0.7500, 0.0880)
Ag (0.9980, 0.2500, 0.5880)
Pb (0.2242, 0.2500, 0.4562)
Pb (0.2758, 0.7500, 0.9562)
Pb (0.7242, 0.2500, 0.0438)
Pb (0.7758, 0.7500, 0.5438)
S (0.1091, 0.2500, 0.9385)
S (0.1170, 0.7500, 0.6173)
S (0.1451, 0.7500, 0.2605)
S (0.3549, 0.2500, 0.7605)
S (0.3830, 0.2500, 0.1173)
S (0.3909, 0.7500, 0.4385)
S (0.6091, 0.2500, 0.5615)
S (0.6170, 0.7500, 0.8827)
S (0.6451, 0.7500, 0.2395)
S (0.8549, 0.2500, 0.7395)
S (0.8830, 0.2500, 0.3827)
S (0.8909, 0.7500, 0.0615)



Result of the stability comparison: version a is the most stable of them.



Version a
Compound: KYCoTe3
Source: the Open Quantum Materials Database
Functional: PBE
Structure: optimized geometry

a = 11.4843 Å, b = 4.2633 Å, c = 15.9346 Å
α = 90.00°, β = 90.00°, γ = 90.00°
Sites, in units of the cell vectors:
K (0.2313, 0.2500, 0.0027)
K (0.2687, 0.7500, 0.5027)
K (0.7313, 0.2500, 0.4973)
K (0.7687, 0.7500, 0.9973)
Y (0.0167, 0.7500, 0.2529)
Y (0.4833, 0.2500, 0.7529)
Y (0.5167, 0.7500, 0.2471)
Y (0.9833, 0.2500, 0.7471)
Co (0.2366, 0.7500, 0.7817)
Co (0.2634, 0.2500, 0.2817)
Co (0.7366, 0.7500, 0.7183)
Co (0.7634, 0.2500, 0.2183)
Te (0.0536, 0.7500, 0.8763)
Te (0.0850, 0.2500, 0.3812)
Te (0.2350, 0.2500, 0.6839)
Te (0.2650, 0.7500, 0.1839)
Te (0.4150, 0.7500, 0.8812)
Te (0.4464, 0.2500, 0.3763)
Te (0.5536, 0.7500, 0.6237)
Te (0.5850, 0.2500, 0.1188)
Te (0.7350, 0.2500, 0.8161)
Te (0.7650, 0.7500, 0.3161)
Te (0.9150, 0.7500, 0.6188)
Te (0.9464, 0.2500, 0.1237)



Version b
Compound: KYCoTe3
Source: the Open Quantum Materials Database
Functional: PBE
Structure: optimized geometry

a = 9.8659 Å, b = 4.2299 Å, c = 10.0394 Å
α = 90.00°, β = 109.33°, γ = 90.00°
Sites, in units of the cell vectors:
K (0.2016, 0.2500, 0.2358)
K (0.7984, 0.7500, 0.7642)
Y (0.3289, 0.7500, 0.8583)
Y (0.6711, 0.2500, 0.1417)
Co (0.0755, 0.2500, 0.5886)
Co (0.9245, 0.7500, 0.4114)
Te (0.1039, 0.2500, 0.8548)
Te (0.1916, 0.7500, 0.5282)
Te (0.4618, 0.7500, 0.1808)
Te (0.5382, 0.2500, 0.8192)
Te (0.8084, 0.2500, 0.4718)
Te (0.8961, 0.7500, 0.1452)



Result of the stability comparison: version b is the most stable of them.



Version a
Compound: Co9Ni4
Source: the Open Quantum Materials Database
Functional: PBE
Structure: optimized geometry

a = 8.4972 Å, b = 8.4972 Å, c = 8.4972 Å
α = 31.11°, β = 31.11°, γ = 31.11°
Sites, in units of the cell vectors:
Co (0.0000, 0.0000, 0.0000)
Co (0.0895, 0.0895, 0.5837)
Co (0.0895, 0.5837, 0.0895)
Co (0.4163, 0.9105, 0.9105)
Co (0.4533, 0.4533, 0.4533)
Co (0.5467, 0.5467, 0.5467)
Co (0.5837, 0.0895, 0.0895)
Co (0.9105, 0.4163, 0.9105)
Co (0.9105, 0.9105, 0.4163)
Ni (0.1650, 0.1650, 0.1650)
Ni (0.3481, 0.3481, 0.3481)
Ni (0.6519, 0.6519, 0.6519)
Ni (0.8350, 0.8350, 0.8350)



Version b
Compound: Co9Ni4
Source: the Open Quantum Materials Database
Functional: PBE
Structure: optimized geometry

a = 8.4791 Å, b = 8.4791 Å, c = 8.4791 Å
α = 31.28°, β = 31.28°, γ = 31.28°
Sites, in units of the cell vectors:
Co (0.0000, 0.0000, 0.0000)
Co (0.0901, 0.0901, 0.5827)
Co (0.0901, 0.5827, 0.0901)
Co (0.1642, 0.1642, 0.1642)
Co (0.4173, 0.9099, 0.9099)
Co (0.5827, 0.0901, 0.0901)
Co (0.8358, 0.8358, 0.8358)
Co (0.9099, 0.4173, 0.9099)
Co (0.9099, 0.9099, 0.4173)
Ni (0.3502, 0.3502, 0.3502)
Ni (0.4527, 0.4527, 0.4527)
Ni (0.5473, 0.5473, 0.5473)
Ni (0.6498, 0.6498, 0.6498)



Result of the stability comparison: version a is the most stable of them.